No. 1
## CsInGa2Rh (PBE-GGA)

Data for a relaxed structure of CsInGa2Rh.

a = 4.980 Å, b = 4.980 Å, c = 5.286 Å
α = 90.00°, β = 90.00°, γ = 90.00°
Positions (direct):
Rh 0.000 0.000 0.000
In 0.000 0.000 0.500
Cs 0.500 0.500 0.500
Ga 0.000 0.500 0.000
Ga 0.500 0.000 0.000

Computed properties:
Energy relative to the elements (eV/atom): -0.214
Density (Mg/m³): 6.2
SG: P4/mmm
Size of the total moment (Bohr magnetons per cell): 0.000
V (Å³ per atom): 26.2

***

No. 2
## Tb4H2I5 (PBE-GGA)

Data for a relaxed structure of Tb4H2I5.

a = 4.013 Å, b = 8.885 Å, c = 9.557 Å
α = 102.69°, β = 102.12°, γ = 90.00°
Positions (direct):
Tb 0.996 0.292 0.993
I 0.171 0.850 0.341
I 0.500 0.000 0.000
Tb 0.637 0.578 0.273
Tb 0.363 0.422 0.727
H 0.462 0.337 0.923
I 0.829 0.150 0.659
I 0.827 0.669 0.654
I 0.173 0.331 0.346
H 0.538 0.663 0.077
Tb 0.004 0.708 0.007

Computed properties:
Density (Mg/m³): 6.5
SG: C2/m
E (eV for the cell shown): -43.7
Size of the total moment (Bohr magnetons per cell): 0.001
V (Å³ per atom): 29.5

***

No. 3
## Na7Se2F2 (PBE-GGA)

Data for a relaxed structure of Na7Se2F2.

a = 6.422 Å, b = 6.257 Å, c = 6.422 Å
α = 90.01°, β = 95.08°, γ = 89.99°
Positions (direct):
Na 0.500 0.756 0.000
F 0.703 0.000 0.297
F 0.297 0.000 0.703
Se 0.231 0.500 0.231
Na 0.500 0.234 0.500
Se 0.769 0.500 0.769
Na 0.000 0.000 0.000
Na 0.000 0.756 0.500
Na 0.000 0.244 0.500
Na 0.500 0.244 0.000
Na 0.500 0.766 0.500

Computed properties:
Density (Mg/m³): 2.3
SG: Cmmm
Size of the total moment (Bohr magnetons per cell): 0.000
V (Å³ per atom): 23.4
Uncorrected formation energy (eV per atom): -1.339

***

No. 4
## Ca3ErZr2N6 (PBE-GGA)

Data for a relaxed structure of Ca3ErZr2N6.

a = 5.849 Å, b = 5.849 Å, c = 5.980 Å
α = 99.39°, β = 99.39°, γ = 120.02°
Positions (direct):
N 0.272 0.272 0.779
Zr 0.333 0.667 0.000
Er 0.000 0.000 0.000
N 0.927 0.581 0.781
N 0.728 0.728 0.221
Ca 0.833 0.167 0.500
N 0.419 0.073 0.219
Ca 0.500 0.500 0.500
N 0.581 0.927 0.781
N 0.073 0.419 0.219
Ca 0.167 0.833 0.500
Zr 0.667 0.333 0.000

Computed properties:
Density (Mg/m³): 5.5
SG: C2/m
Size of the total moment (Bohr magnetons per cell): 0.000
V (Å³ per atom): 14.0
Uncorrected formation energy (eV per atom): -1.363

***

No. 5
## SrAc2Cd2 (PBE-GGA)

Data for a relaxed structure of SrAc2Cd2.

a = 5.071 Å, b = 5.151 Å, c = 14.878 Å
α = 99.97°, β = 90.00°, γ = 90.00°
Positions (direct):
Cd 0.250 0.525 0.052
Sr 0.250 0.640 0.279
Cd 0.750 0.171 0.341
Ac 0.250 0.945 0.892
Ac 0.750 0.749 0.499
Cd 0.750 0.475 0.948
Cd 0.250 0.829 0.659
Ac 0.750 0.055 0.108
Ac 0.250 0.251 0.501
Sr 0.750 0.360 0.721

Computed properties:
Energy relative to the elements (eV/atom): -0.136
Density (Mg/m³): 6.7
SG: P2_1/m
Size of the total moment (Bohr magnetons per cell): 0.000
V (Å³ per atom): 38.3

***

No. 6
## AsPd2Pt (PBE-GGA)

Data for a relaxed structure of AsPd2Pt.

a = 4.030 Å, b = 3.951 Å, c = 3.951 Å
α = 90.00°, β = 90.00°, γ = 90.00°
Positions (direct):
Pt 0.500 0.500 0.500
Pd 0.000 0.000 0.500
Pd 0.000 0.500 0.000
As 0.500 0.000 0.000

Computed properties:
Energy relative to the elements (eV/atom): -0.114
Density (Mg/m³): 12.7
SG: P4/mmm
Size of the total moment (Bohr magnetons per cell): 0.000
V (Å³ per atom): 15.7

***

No. 7
## LiS (PBE-GGA)

Data for a relaxed structure of LiS.

a = 4.378 Å, b = 3.401 Å, c = 13.796 Å
α = 90.00°, β = 90.00°, γ = 90.00°
Positions (direct):
S 0.500 0.997 0.277
Li 0.500 0.477 0.137
S 0.000 0.003 0.223
S 0.000 0.003 0.777
Li 0.000 0.523 0.363
Li 0.000 0.156 0.000
Li 0.500 0.477 0.863
Li 0.500 0.844 0.500
S 0.500 0.997 0.723
Li 0.000 0.523 0.637
S 0.500 0.928 0.000
S 0.000 0.072 0.500

Computed properties:
Density (Mg/m³): 1.9
SG: Pmmn
Size of the total moment (Bohr magnetons per cell): 0.000
V (Å³ per atom): 17.1
Uncorrected formation energy (eV per atom): -0.771

***

No. 8
## Ba4Sr7Ca (PBE-GGA)

Data for a relaxed structure of Ba4Sr7Ca.

a = 6.873 Å, b = 15.009 Å, c = 8.050 Å
α = 98.54°, β = 64.73°, γ = 76.76°
Each line ends with the local moment (μB).
Positions (direct):
Sr 0.834 0.908 0.425  0.03
Ba 0.303 0.777 0.617  0.04
Sr 0.665 0.470 0.200  -0.01
Ba 0.367 0.275 0.992  0.01
Sr 0.500 0.000 0.000  0.09
Sr 0.004 0.385 0.606  -0.01
Sr 0.335 0.530 0.800  -0.01
Ba 0.633 0.725 0.008  0.01
Sr 0.996 0.615 0.394  -0.01
Sr 0.166 0.092 0.575  0.03
Ba 0.697 0.223 0.383  0.04
Ca 0.000 0.000 0.000  0.13

Computed properties:
Energy relative to the elements (eV/atom): 0.147
Density (Mg/m³): 2.8
SG: C2/m
Size of the total moment (Bohr magnetons per cell): 1.414
V (Å³ per atom): 58.5

***

No. 9
## NpBiSe4 (PBE-GGA)

Data for a relaxed structure of NpBiSe4.

a = 7.348 Å, b = 7.348 Å, c = 8.288 Å
α = 90.00°, β = 90.00°, γ = 77.63°
Each line ends with the local moment (μB).
Positions (direct):
Np 0.509 0.509 0.250  2.86
Se 0.339 0.339 0.493  -0.15
Se 0.225 0.810 0.750  -0.17
Bi 0.852 0.852 0.750  0.00
Bi 0.148 0.148 0.250  0.00
Se 0.190 0.775 0.250  -0.17
Se 0.775 0.190 0.250  -0.17
Se 0.339 0.339 0.007  -0.15
Se 0.661 0.661 0.507  -0.15
Se 0.810 0.225 0.750  -0.17
Np 0.491 0.491 0.750  2.86
Se 0.661 0.661 0.993  -0.15

Computed properties:
Density (Mg/m³): 5.8
SG: Cmcm
Size of the total moment (Bohr magnetons per cell): 3.989
V (Å³ per atom): 36.4
Uncorrected formation energy (eV per atom): -0.440

***

No. 10
## SiB2Br (PBE-GGA)

Data for a relaxed structure of SiB2Br.

a = 3.396 Å, b = 5.549 Å, c = 9.882 Å
α = 99.11°, β = 98.68°, γ = 107.95°
Positions (direct):
Br 0.988 0.779 0.166
Br 0.012 0.221 0.834
B 0.831 0.209 0.449
B 0.245 0.500 0.500
Si 0.796 0.990 0.613
Si 0.204 0.010 0.387
B 0.755 0.500 0.500
B 0.169 0.791 0.551

Computed properties:
Density (Mg/m³): 2.5
SG: P-1
Size of the total moment (Bohr magnetons per cell): 0.000
V (Å³ per atom): 21.4
Uncorrected formation energy (eV per atom): 0.068

***

No. 11
## Tb2Pr3Tm5 (PBE-GGA)

Data for a relaxed structure of Tb2Pr3Tm5.

a = 9.375 Å, b = 9.368 Å, c = 11.151 Å
α = 124.83°, β = 124.84°, γ = 68.94°
Positions (direct):
Tm 0.146 0.396 0.279
Tm 0.472 0.722 0.443
Pr 0.730 0.476 0.253
Pr 0.023 0.776 0.253
Tm 0.528 0.278 0.557
Tm 0.367 0.118 0.721
Tb 0.766 0.015 0.733
Tb 0.467 0.719 0.733
Pr 0.235 0.985 0.971
Pr 0.977 0.224 0.747
Tm 0.272 0.522 0.044
Tb 0.533 0.281 0.267
Tm 0.633 0.882 0.279
Pr 0.270 0.524 0.747
Pr 0.765 0.015 0.029
Tm 0.027 0.777 0.553
Tm 0.854 0.604 0.721
Tb 0.234 0.985 0.267
Tm 0.728 0.478 0.956
Tm 0.973 0.223 0.447

Computed properties:
Energy relative to the elements (eV/atom): 0.190
Density (Mg/m³): 8.0
SG: C2/c
Size of the total moment (Bohr magnetons per cell): 0.000
V (Å³ per atom): 33.0

***

No. 12
## RbIrO2 (PBE-GGA)

Data for a relaxed structure of RbIrO2.

a = 5.216 Å, b = 5.216 Å, c = 6.724 Å
α = 67.18°, β = 67.18°, γ = 90.00°
Positions (direct):
Rb 0.500 0.500 0.000
Ir 0.750 0.250 0.500
Ir 0.000 0.000 0.000
O 0.778 0.125 0.250
O 0.875 0.028 0.750
O 0.375 0.222 0.750
O 0.972 0.625 0.250
Rb 0.250 0.750 0.500

Computed properties:
Density (Mg/m³): 6.7
SG: I-42d
Size of the total moment (Bohr magnetons per cell): 0.000
V (Å³ per atom): 19.1
Uncorrected formation energy (eV per atom): -0.533

***

No. 13
## LaPmN2 (PBE-GGA)

Data for a relaxed structure of LaPmN2.

a = 3.681 Å, b = 3.681 Å, c = 6.390 Å
α = 73.26°, β = 73.26°, γ = 60.00°
Positions (direct):
Pm 0.500 0.500 0.500
N 0.248 0.248 0.257
N 0.752 0.752 0.743
La 0.000 0.000 0.000

Computed properties:
Density (Mg/m³): 7.3
SG: R-3m
Size of the total moment (Bohr magnetons per cell): 0.000
V (Å³ per atom): 17.7
Uncorrected formation energy (eV per atom): -1.369

***

No. 14
## TaV2SnOs (PBE-GGA)

Data for a relaxed structure of TaV2SnOs.

a = 4.614 Å, b = 4.817 Å, c = 4.614 Å
α = 90.00°, β = 90.00°, γ = 90.00°
Positions (direct):
Os 0.000 0.500 0.000
Sn 0.500 0.500 0.500
V 0.000 0.000 0.500
Ta 0.000 0.000 0.000
V 0.500 0.000 0.000

Computed properties:
Energy relative to the elements (eV/atom): 1.443
Density (Mg/m³): 9.6
SG: P4/mmm
Size of the total moment (Bohr magnetons per cell): 0.000
V (Å³ per atom): 20.5

***

No. 15
## BaZnTcO6 (PBE-GGA)

Data for a relaxed structure of BaZnTcO6.

a = 5.344 Å, b = 5.543 Å, c = 5.564 Å
α = 93.32°, β = 91.46°, γ = 58.50°
Each line ends with the local moment (μB).
Positions (direct):
O 0.382 0.595 0.324  0.05
O 0.593 0.038 0.285  0.05
O 0.377 0.018 0.669  0.10
Ba 0.043 0.979 0.995  0.01
O 0.015 0.397 0.302  0.26
Tc 0.355 0.328 0.501  -0.06
O 0.007 0.583 0.700  0.28
Zn 0.669 0.676 0.487  0.11
O 0.560 0.386 0.735  0.03

Computed properties:
Density (Mg/m³): 4.7
SG: P1
Size of the total moment (Bohr magnetons per cell): 0.966
V (Å³ per atom): 15.6
Uncorrected formation energy (eV per atom): -1.520

***

No. 16
## NaYGa2 (PBE-GGA)

Data for a relaxed structure of NaYGa2.

a = 7.840 Å, b = 7.840 Å, c = 6.412 Å
α = 52.31°, β = 52.31°, γ = 90.00°
Positions (direct):
Na 0.500 0.500 0.000
Ga 0.134 0.625 0.250
Ga 0.375 0.384 0.750
Ga 0.616 0.125 0.250
Y 0.750 0.250 0.500
Y 0.000 0.000 0.000
Ga 0.875 0.866 0.750
Na 0.250 0.750 0.500

Computed properties:
Energy relative to the elements (eV/atom): 0.017
Density (Mg/m³): 4.2
SG: I-42d
Size of the total moment (Bohr magnetons per cell): 0.000
V (Å³ per atom): 24.8

***

No. 17
## BeReSi (PBE-GGA)

Data for a relaxed structure of BeReSi.

a = 3.046 Å, b = 3.867 Å, c = 6.386 Å
α = 90.00°, β = 103.79°, γ = 90.00°
Positions (direct):
Be 0.747 0.750 0.494
Re 0.405 0.750 0.810
Be 0.253 0.250 0.506
Si 0.923 0.250 0.846
Re 0.595 0.250 0.190
Si 0.077 0.750 0.154

Computed properties:
Density (Mg/m³): 10.2
SG: Cmcm
Size of the total moment (Bohr magnetons per cell): 0.000
V (Å³ per atom): 12.2
Uncorrected formation energy (eV per atom): -0.098

***

No. 18
## Hg4SbTeI2 (PBE-GGA)

Data for a relaxed structure of Hg4SbTeI2.

a = 9.361 Å, b = 9.361 Å, c = 8.526 Å
α = 117.23°, β = 117.23°, γ = 98.48°
Positions (direct):
Sb 0.000 0.500 0.500
Hg 0.792 0.709 0.986
Hg 0.261 0.710 0.486
Sb 0.000 0.500 0.000
Te 0.500 0.500 0.500
Hg 0.791 0.708 0.514
Te 0.000 0.000 0.000
Hg 0.790 0.239 0.014
I 0.500 0.000 0.500
Hg 0.739 0.290 0.514
Hg 0.209 0.292 0.486
I 0.500 0.000 0.000
Hg 0.210 0.761 0.986
I 0.500 0.500 0.000
Hg 0.208 0.291 0.014
I 0.000 0.000 0.500

Computed properties:
Density (Mg/m³): 8.2
SG: C2/c
Size of the total moment (Bohr magnetons per cell): 0.000
V (Å³ per atom): 32.9
Uncorrected formation energy (eV per atom): -0.055

***

No. 19
## Ca4TlPb2 (PBE-GGA)

Data for a relaxed structure of Ca4TlPb2.

a = 5.481 Å, b = 5.481 Å, c = 9.431 Å
α = 73.11°, β = 73.11°, γ = 60.00°
Positions (direct):
Tl 0.000 0.000 0.000
Ca 0.873 0.873 0.380
Ca 0.378 0.378 0.866
Pb 0.250 0.250 0.250
Ca 0.127 0.127 0.620
Ca 0.622 0.622 0.134
Pb 0.750 0.750 0.750

Computed properties:
Energy relative to the elements (eV/atom): -0.470
Density (Mg/m³): 5.6
SG: R-3m
Size of the total moment (Bohr magnetons per cell): 0.000
V (Å³ per atom): 33.0

***

No. 20
## Tl2Re (PBE-GGA)

Data for a relaxed structure of Tl2Re.

a = 14.053 Å, b = 14.053 Å, c = 14.053 Å
α = 168.10°, β = 166.44°, γ = 18.08°
Positions (direct):
Tl 0.198 0.948 0.250
Tl 0.053 0.803 0.250
Tl 0.802 0.052 0.750
Tl 0.947 0.197 0.750
Re 0.376 0.626 0.750
Re 0.624 0.374 0.250

Computed properties:
Energy relative to the elements (eV/atom): 1.056
Density (Mg/m³): 14.7
SG: Imma
Size of the total moment (Bohr magnetons per cell): 0.000
V (Å³ per atom): 22.4

***

No. 21
## Pu2CuSi6Pt (PBE-GGA)

Data for a relaxed structure of Pu2CuSi6Pt.

a = 5.881 Å, b = 5.881 Å, c = 12.928 Å
α = 76.85°, β = 76.85°, γ = 60.00°
Each line ends with the local moment (μB).
Positions (direct):
Cu 0.500 0.500 0.500  0.02
Si 0.191 0.776 0.842  -0.03
Si 0.809 0.224 0.158  -0.03
Si 0.063 0.663 0.610  -0.01
Si 0.937 0.337 0.390  -0.01
Pt 0.574 0.574 0.278  0.04
Si 0.337 0.937 0.390  -0.01
Si 0.663 0.063 0.610  -0.01
Si 0.663 0.663 0.610  -0.01
Pu 0.129 0.129 0.612  5.22
Pu 0.721 0.721 0.838  5.26
Pu 0.871 0.871 0.388  5.22
Si 0.809 0.809 0.158  -0.03
Si 0.224 0.809 0.158  -0.03
Si 0.191 0.191 0.842  -0.03
Si 0.337 0.337 0.390  -0.01
Si 0.776 0.191 0.842  -0.03
Pt 0.426 0.426 0.722  0.04
Pu 0.279 0.279 0.162  5.26
Cu 0.000 0.000 0.000  -0.02

Computed properties:
Density (Mg/m³): 8.1
SG: R-3m
Size of the total moment (Bohr magnetons per cell): 21.890
V (Å³ per atom): 18.7
Uncorrected formation energy (eV per atom): -0.233

***

No. 22
## NaHgOF2 (PBE-GGA)

Data for a relaxed structure of NaHgOF2.

a = 4.077 Å, b = 4.077 Å, c = 4.337 Å
α = 90.00°, β = 90.00°, γ = 90.00°
Each line ends with the local moment (μB).
Positions (direct):
F 0.500 0.000 0.000  0.03
O 0.000 0.000 0.500  0.83
F 0.000 0.500 0.000  0.03
Hg 0.500 0.500 0.500  -0.06
Na 0.000 0.000 0.000  0.01

Computed properties:
Density (Mg/m³): 6.4
SG: P4/mmm
Size of the total moment (Bohr magnetons per cell): 1.013
V (Å³ per atom): 14.4
Uncorrected formation energy (eV per atom): -0.811